Entry 1:
## CaY3Cr (GGA-PBE)

Data for a geometry-optimized CaY3Cr structure.

Calculated values
As for the space-group type: Pm-3m, No. 221. As for the formation energy from the elements: 302 meV/atom.

abc: 5.440 5.440 5.440
angles: 90.00 90.00 90.00
Atoms (fractional coordinates):
1 Y 0.000 0.000 0.500
2 Y 0.000 0.500 0.000
3 Y 0.500 0.000 0.000
4 Cr 0.000 0.000 0.000
5 Ca 0.500 0.500 0.500

---

Entry 2:
## Sm8SiGe3Br4 (GGA-PBE)

Data for a geometry-optimized Sm8SiGe3Br4 structure.

Calculated values
As for the space-group type: R-3m, No. 166. The value obtained for the uncorrected formation energy is -1.12 eV per atom.

abc: 8.510 8.694 8.511
angles: 119.31 120.00 90.00
Atoms (fractional coordinates):
1 Sm 0.764 0.289 0.529
2 Sm 0.737 0.712 0.475
3 Sm 0.764 0.289 0.024
4 Sm 0.236 0.711 0.471
5 Sm 0.260 0.289 0.024
6 Sm 0.263 0.288 0.525
7 Sm 0.740 0.711 0.976
8 Sm 0.236 0.711 0.976
9 Br 0.500 0.000 0.000
10 Br 0.000 0.000 0.500
11 Br 0.000 0.000 0.000
12 Br 0.500 0.000 0.500
13 Ge 0.000 0.500 0.500
14 Ge 0.500 0.500 0.500
15 Ge 0.500 0.500 0.000
16 Si 0.000 0.500 0.000

---

Entry 3:
## TiInSN2 (GGA-PBE)

Data for a geometry-optimized TiInSN2 structure.

Calculated values
As for the space-group type: P4/mmm, No. 123. The value obtained for the uncorrected formation energy is 1.17 eV per atom.

abc: 4.085 4.085 5.242
angles: 90.00 90.00 90.00
Atoms (fractional coordinates):
1 N 0.500 0.000 0.000
2 N 0.000 0.500 0.000
3 S 0.000 0.000 0.500
4 In 0.000 0.000 0.000
5 Ti 0.500 0.500 0.500

---

Entry 4:
## Ba2CdNiBr (GGA-PBE)

Data for a geometry-optimized Ba2CdNiBr structure.

Calculated values
As for the space-group type: P4/mmm, No. 123. The value obtained for the uncorrected formation energy is -0.59 eV per atom.

abc: 5.973 5.973 4.990
angles: 90.00 90.00 90.00
Atoms (fractional coordinates):
1 Ba 0.500 0.000 0.000
2 Ba 0.000 0.500 0.000
3 Ni 0.000 0.000 0.000
4 Br 0.500 0.500 0.500
5 Cd 0.000 0.000 0.500

---

Entry 5:
## SrInP2Cl (GGA-PBE)

Data for a geometry-optimized SrInP2Cl structure.

Calculated values
As for the space-group type: P4/mmm, No. 123. The value obtained for the uncorrected formation energy is 0.28 eV per atom.

abc: 6.372 6.372 5.621
angles: 90.00 90.00 90.00
Atoms (fractional coordinates):
1 In 0.500 0.500 0.500
2 Sr 0.000 0.000 0.000
3 P 0.000 0.500 0.000
4 P 0.500 0.000 0.000
5 Cl 0.000 0.000 0.500

---

Entry 6:
## Sc3AlCo2 (GGA-PBE)

Data for a geometry-optimized Sc3AlCo2 structure.

Calculated values
As for the space-group type: P4/mmm, No. 123. As for the formation energy from the elements: -403 meV/atom.

abc: 3.181 3.181 9.891
angles: 90.00 90.00 90.00
Atoms (fractional coordinates):
1 Sc 0.000 0.000 0.309
2 Sc 0.000 0.000 0.691
3 Sc 0.000 0.000 0.000
4 Al 0.500 0.500 0.500
5 Co 0.500 0.500 0.161
6 Co 0.500 0.500 0.839

---

Entry 7:
## FeMo2P (GGA-PBE)

Data for a geometry-optimized FeMo2P structure.

Calculated values
As for the space-group type: P2/m, No. 10. As for the formation energy from the elements: 17 meV/atom.

abc: 3.819 2.748 5.413
angles: 71.91 90.00 90.00
Atoms (fractional coordinates):
1 Mo 0.000 0.453 0.499
2 Mo 0.000 0.047 0.001
3 Fe 0.500 0.750 0.750
4 P 0.500 0.250 0.250

---

Entry 8:
## La5PmSn4 (GGA-PBE)

Data for a geometry-optimized La5PmSn4 structure.

Calculated values
As for the space-group type: C2/m, No. 12. As for the formation energy from the elements: -602 meV/atom.

abc: 5.576 7.382 11.493
angles: 129.32 104.04 90.00
Atoms (fractional coordinates):
1 La 0.835 0.166 0.670
2 La 0.165 0.834 0.330
3 La 0.167 0.324 0.335
4 La 0.500 0.500 0.000
5 La 0.833 0.676 0.665
6 Sn 0.327 0.903 0.653
7 Sn 0.992 0.742 0.984
8 Sn 0.008 0.258 0.016
9 Sn 0.673 0.097 0.347
10 Pm 0.500 0.000 0.000

---

Entry 9:
## ErSc2TlC (GGA-PBE)

Data for a geometry-optimized ErSc2TlC structure.

Calculated values
As for the space-group type: P4/mmm, No. 123. As for the formation energy from the elements: -563 meV/atom.

abc: 4.824 4.590 4.590
angles: 90.00 90.00 90.00
Atoms (fractional coordinates):
1 Sc 0.000 0.000 0.500
2 Sc 0.000 0.500 0.000
3 C 0.000 0.000 0.000
4 Er 0.500 0.000 0.000
5 Tl 0.500 0.500 0.500

---

Entry 10:
## Dy2Re2Si2C (GGA-PBE)

Data for a geometry-optimized Dy2Re2Si2C structure.

Calculated values
As for the space-group type: C2/m, No. 12. The value obtained for the uncorrected formation energy is -0.62 eV per atom.

abc: 5.820 5.820 6.948
angles: 55.30 55.30 39.97
Atoms (fractional coordinates):
1 Dy 0.572 0.572 0.700
2 Dy 0.428 0.428 0.300
3 Si 0.141 0.141 0.320
4 Si 0.859 0.859 0.680
5 C 0.000 0.000 0.000
6 Re 0.207 0.207 0.908
7 Re 0.793 0.793 0.092

---

Entry 11:
## CaTaPb2 (GGA-PBE)

Data for a geometry-optimized CaTaPb2 structure.

Calculated values
As for the space-group type: R-3m, No. 166. As for the formation energy from the elements: 250 meV/atom.

abc: 9.713 9.713 9.713
angles: 21.04 21.04 21.04
Atoms (fractional coordinates):
1 Ta 0.250 0.250 0.250
2 Pb 0.993 0.993 0.993
3 Pb 0.507 0.507 0.507
4 Ca 0.750 0.750 0.750

---

Entry 12:
## Li3PtAu (GGA-PBE)

Data for a geometry-optimized Li3PtAu structure.

Calculated values
As for the space-group type: Pm-3m, No. 221. As for the formation energy from the elements: -110 meV/atom.

abc: 4.691 4.691 4.691
angles: 90.00 90.00 90.00
Atoms (fractional coordinates):
1 Li 0.000 0.500 0.000
2 Li 0.000 0.000 0.500
3 Li 0.500 0.000 0.000
4 Au 0.500 0.500 0.500
5 Pt 0.000 0.000 0.000